First-principles (SCAN) data for a PBEsol-optimized structure of TaSb2Br, as listed in Alexandria via LeMat-Bulk.

As for the uncorrected formation energy: 0.359 eV per atom. For the total magnetization, the calculation gives 0.19 μB per atom. The total energy comes out at -318.25 eV/cell. The crystal system is orthorhombic.

The structure belongs to space group Immm (No. 71); the cell edges are 3.101, 4.982 and 12.470 Å and the angles 90.00°, 90.00° and 90.00°. The distinct sites, in fractional coordinates, are Ta at (0.000, 0.000, 0.000), Sb at (0.000, 0.500, 0.304) and Br at (0.000, 0.000, 0.500).


First-principles (SCAN) data for a PBEsol-optimized structure of Ta2SbBr, as listed in Alexandria via LeMat-Bulk.

As for the uncorrected formation energy: 0.565 eV per atom. For the total magnetization, the calculation gives 0.24 μB per atom. The total energy comes out at -375.26 eV/cell. The crystal system is tetragonal.

The structure belongs to space group I4/mmm (No. 139); the cell edges are 4.711, 4.711 and 6.636 Å and the angles 90.00°, 90.00° and 90.00°. The distinct sites, in fractional coordinates, are Ta at (0.000, 0.500, 0.250), Sb at (0.000, 0.000, 0.000) and Br at (0.000, 0.000, 0.500).


First-principles (SCAN) data for a PBEsol-optimized structure of TaSb2Br2, as listed in Alexandria via LeMat-Bulk.

As for the uncorrected formation energy: 0.954 eV per atom. For the total magnetization, the calculation gives 0.21 μB per atom. The total energy comes out at -350.51 eV/cell. The crystal system is tetragonal.

The structure belongs to space group P4/mbm (No. 127); the cell edges are 8.691, 8.691 and 3.162 Å and the angles 90.00°, 90.00° and 90.00°. The distinct sites, in fractional coordinates, are Ta at (0.000, 0.000, 0.000), Sb at (0.190, 0.310, 0.500) and Br at (0.122, 0.622, 0.000).


First-principles (SCAN) data for a PBEsol-optimized structure of Ta2SbBr, as listed in Alexandria via LeMat-Bulk.

As for the uncorrected formation energy: 0.062 eV per atom. For the total magnetization, the calculation gives 0.00 μB per atom. The total energy comes out at -189.64 eV/cell. The crystal system is tetragonal.

The structure belongs to space group P4mm (No. 99); the cell edges are 3.382, 3.382 and 7.731 Å and the angles 90.00°, 90.00° and 90.00°. The distinct sites, in fractional coordinates, are Ta at (0.000, 0.000, 0.000), Ta at (0.500, 0.500, 0.186), Sb at (0.500, 0.500, 0.796) and Br at (0.000, 0.000, 0.428).